(1)
This record from the Alexandria database describes KRb3Y after structural relaxation. The functional is PBE.

formation enthalpy at 0 K	343	kJ/mol of formula units
distance to the lowest polymorph of the same formula	0	meV per atom

a = 7.709 Å, b = 7.709 Å, c = 7.709 Å
α = 90.00°, β = 90.00°, γ = 90.00°
Site moments in Bohr magnetons follow the coordinates.
Positions (direct):
1 Y 0.000 0.000 0.000  0.84
2 K 0.500 0.500 0.500  0.00
3 Rb 0.000 0.500 0.000  0.04
4 Rb 0.000 0.000 0.500  0.03
5 Rb 0.500 0.000 0.000  0.03

***

(2)
This record from the Alexandria database describes KRbY3 after structural relaxation. The functional is PBE.

formation enthalpy at 0 K	598	kJ/mol of formula units
distance to the lowest polymorph of the same formula	0	meV per atom

a = 5.952 Å, b = 5.952 Å, c = 5.952 Å
α = 90.00°, β = 90.00°, γ = 90.00°
Positions (direct):
1 Y 0.000 0.500 0.000
2 Y 0.000 0.000 0.500
3 Y 0.500 0.000 0.000
4 K 0.000 0.000 0.000
5 Rb 0.500 0.500 0.500

***

(3)
This record from the Alexandria database describes K3RbY after structural relaxation. The functional is PBE.

formation enthalpy at 0 K	404	kJ/mol of formula units
distance to the lowest polymorph of the same formula	150	meV per atom

a = 7.057 Å, b = 7.057 Å, c = 7.057 Å
α = 90.00°, β = 90.00°, γ = 90.00°
Site moments in Bohr magnetons follow the coordinates.
Positions (direct):
1 Y 0.500 0.500 0.500  0.43
2 K 0.000 0.500 0.000  0.01
3 K 0.000 0.000 0.500  0.01
4 K 0.500 0.000 0.000  0.01
5 Rb 0.000 0.000 0.000  0.00

***

(4)
This record from the Alexandria database describes K2RbY2 after structural relaxation. The functional is PBE.

formation enthalpy at 0 K	291	kJ/mol of formula units
distance to the lowest polymorph of the same formula	0	meV per atom

a = 12.168 Å, b = 12.168 Å, c = 3.651 Å
α = 90.00°, β = 90.00°, γ = 90.00°
Site moments in Bohr magnetons follow the coordinates.
Positions (direct):
1 Y 0.408 0.908 0.000  0.16
2 Y 0.908 0.592 0.000  0.15
3 Y 0.592 0.092 0.000  0.16
4 Y 0.092 0.408 0.000  0.15
5 K 0.194 0.694 0.500  0.00
6 K 0.694 0.806 0.500  0.00
7 K 0.806 0.306 0.500  0.00
8 K 0.306 0.194 0.500  0.00
9 Rb 0.000 0.000 0.000  0.00
10 Rb 0.500 0.500 0.000  0.00

***

(5)
This record from the Alexandria database describes KRb3Y after structural relaxation. The functional is PBE.

formation enthalpy at 0 K	386	kJ/mol of formula units
distance to the lowest polymorph of the same formula	88	meV per atom

a = 7.371 Å, b = 7.371 Å, c = 7.371 Å
α = 90.00°, β = 90.00°, γ = 90.00°
Site moments in Bohr magnetons follow the coordinates.
Positions (direct):
1 Y 0.500 0.500 0.500  0.47
2 K 0.000 0.000 0.000  0.00
3 Rb 0.000 0.500 0.000  0.00
4 Rb 0.000 0.000 0.500  0.00
5 Rb 0.500 0.000 0.000  0.00

***

(6)
This record from the Alexandria database describes K2RbY2 after structural relaxation. The functional is PBE.

formation enthalpy at 0 K	398	kJ/mol of formula units
distance to the lowest polymorph of the same formula	222	meV per atom

a = 5.600 Å, b = 5.600 Å, c = 10.146 Å
α = 73.98°, β = 73.98°, γ = 90.00°
Site moments in Bohr magnetons follow the coordinates.
Positions (direct):
1 Y 0.418 0.418 0.163  0.79
2 Y 0.582 0.582 0.837  0.79
3 K 0.750 0.250 0.500  0.01
4 K 0.250 0.750 0.500  0.01
5 Rb 0.000 0.000 0.000  0.03

***

(7)
This record from the Alexandria database describes K3RbY after structural relaxation. The functional is PBE.

formation enthalpy at 0 K	332	kJ/mol of formula units
distance to the lowest polymorph of the same formula	0	meV per atom

a = 7.453 Å, b = 7.453 Å, c = 7.453 Å
α = 90.00°, β = 90.00°, γ = 90.00°
Site moments in Bohr magnetons follow the coordinates.
Positions (direct):
1 Y 0.000 0.000 0.000  0.82
2 K 0.000 0.500 0.000  0.04
3 K 0.000 0.000 0.500  0.03
4 K 0.500 0.000 0.000  0.03
5 Rb 0.500 0.500 0.500  0.01

***

(8)
This record from the Alexandria database describes KRbZn3 after structural relaxation. The functional is PBE.

formation enthalpy at 0 K	273	kJ/mol of formula units
distance to the lowest polymorph of the same formula	64	meV per atom

a = 6.413 Å, b = 6.413 Å, c = 6.413 Å
α = 90.00°, β = 90.00°, γ = 90.00°
Positions (direct):
1 Zn 0.000 0.500 0.000
2 Zn 0.000 0.000 0.500
3 Zn 0.500 0.000 0.000
4 K 0.500 0.500 0.500
5 Rb 0.000 0.000 0.000

***

no.,total magnetic moment (μB per formula unit)
1,3.034
2,0.000
3,1.347
4,0.545
5,1.123
6,3.549
7,2.990
8,0.000